DFT (PBE) results for a relaxed structure of Cs2Pr10Os2I17.

Cell: 11.8456 11.8456 10.1352 Å, 93.58 93.58 107.82°
With the nearest neighbours (Å) after each atom.
Fractional coordinates of all 31 atoms:
Cs1 0.1728 0.8272 0.0000  12 I 4.25-4.56
Cs2 0.8272 0.1728 0.0000  12 I 4.25-4.56
Pr1 0.1732 0.1732 0.4415  1 Os 2.78
Pr2 0.2083 0.5078 0.5709  1 Os 2.87, 1 I 3.19
Pr3 0.2940 0.2940 0.8154  1 Os 2.76
Pr4 0.4379 0.4379 0.3177  2 Os 2.86-2.93
Pr5 0.4922 0.7917 0.4291  1 Os 2.87, 1 I 3.19
Pr6 0.5078 0.2083 0.5709  1 Os 2.87, 1 I 3.19
Pr7 0.5621 0.5621 0.6823  2 Os 2.86-2.93
Pr8 0.7060 0.7060 0.1846  1 Os 2.76
Pr9 0.7917 0.4922 0.4291  1 Os 2.87, 1 I 3.19
Pr10 0.8268 0.8268 0.5585  1 Os 2.78
Os1 0.3602 0.3602 0.5681  6 Pr 2.76-2.93
Os2 0.6398 0.6398 0.4319  6 Pr 2.76-2.93
I1 0.0249 0.6878 0.5800  3 Pr 3.23-3.48
I2 0.0652 0.0652 0.7126  3 Pr 3.25-3.52
I3 0.1177 0.4510 0.8569  2 Pr 3.19-3.22
I4 0.2110 0.2110 0.1306  3 Pr 3.25-3.51
I5 0.2532 0.6010 0.2753  3 Pr 3.26-3.36
I6 0.3122 0.9751 0.4200  3 Pr 3.23-3.48
I7 0.3990 0.7468 0.7247  3 Pr 3.26-3.36
I8 0.4510 0.1177 0.8569  2 Pr 3.19-3.22
I9 0.5000 0.5000 0.0000  4 Pr 3.26-3.42
I10 0.5490 0.8823 0.1431  2 Pr 3.19-3.22
I11 0.6010 0.2532 0.2753  3 Pr 3.26-3.36
I12 0.6878 0.0249 0.5800  3 Pr 3.23-3.48
I13 0.7468 0.3990 0.7247  3 Pr 3.26-3.36
I14 0.7890 0.7890 0.8694  3 Pr 3.25-3.51
I15 0.8823 0.5490 0.1431  2 Pr 3.19-3.22
I16 0.9348 0.9348 0.2874  3 Pr 3.25-3.52
I17 0.9751 0.3122 0.4200  3 Pr 3.23-3.48

Properties
- ΔE_f (raw): -1241 meV/atom
- Uncorrected energy: -4.4124 eV per atom

***

DFT (PBE) results for a relaxed structure of Cs2ReOsI6.

Cell: 8.0372 8.0372 8.0372 Å, 119.90 119.90 90.18°
With the nearest neighbours (Å) after each atom.
Fractional coordinates of all 10 atoms:
Cs1 0.2500 0.7500 0.5000  12 I 4.02-4.03
Cs2 0.7500 0.2500 0.5000  12 I 4.02-4.03
Re1 0.0000 0.0000 0.0000  6 I 2.87-2.88
Os1 0.5000 0.5000 0.0000  6 I 2.80-2.81
I1 0.2532 0.2532 0.0000  1 Os 2.80, 1 Re 2.87
I2 0.2533 0.2533 0.5066  1 Os 2.81, 1 Re 2.88
I3 0.2533 0.7467 0.0000  1 Os 2.81, 1 Re 2.88
I4 0.7467 0.2533 0.0000  1 Os 2.81, 1 Re 2.88
I5 0.7468 0.7468 0.0000  1 Os 2.80, 1 Re 2.87
I6 0.7467 0.7467 0.4934  1 Os 2.81, 1 Re 2.88

Properties
- ΔE_f (raw): -64 meV/atom
- Uncorrected energy: -3.5323 eV per atom

***

DFT (PBE) results for a relaxed structure of CsSbOsI2.

Cell: 5.9210 5.9210 5.0291 Å, 90.00 90.00 90.00°
With the nearest neighbours (Å) after each atom.
Fractional coordinates of all 5 atoms:
Cs1 0.0000 0.0000 0.0000  8 I 3.88, 4 Sb 4.19
Sb1 0.5000 0.5000 0.0000  2 Os 2.51
Os1 0.5000 0.5000 0.5000  2 Sb 2.51
I1 0.0000 0.5000 0.5000  2 Os 2.96
I2 0.5000 0.0000 0.5000  2 Os 2.96

Properties
- ΔE_f (raw): 25 meV/atom
- Uncorrected energy: -3.8359 eV per atom

***

DFT (PBE) results for a relaxed structure of Cs2ScOsI6.

Cell: 8.1283 8.1283 8.1283 Å, 120.07 120.07 89.88°
With the nearest neighbours (Å) after each atom.
Fractional coordinates of all 10 atoms:
Cs1 0.2500 0.7500 0.5000  12 I 4.06-4.07
Cs2 0.7500 0.2500 0.5000  12 I 4.06-4.07
Sc1 0.0000 0.0000 0.0000  6 I 2.96
Os1 0.5000 0.5000 0.0000  6 I 2.78-2.79
I1 0.2576 0.2576 0.0000  1 Os 2.79, 1 Sc 2.96
I2 0.2579 0.2579 0.5158  1 Os 2.78, 1 Sc 2.96
I3 0.2579 0.7421 0.0000  1 Os 2.78, 1 Sc 2.96
I4 0.7421 0.2579 0.0000  1 Os 2.78, 1 Sc 2.96
I5 0.7424 0.7424 0.0000  1 Os 2.79, 1 Sc 2.96
I6 0.7421 0.7421 0.4842  1 Os 2.78, 1 Sc 2.96

Properties
- ΔE_f (raw): -672 meV/atom
- Uncorrected energy: -3.5288 eV per atom

***

DFT (PBE) results for a relaxed structure of CsScOs2I.

Cell: 5.0694 5.0694 6.3082 Å, 90.00 90.00 90.00°
With the nearest neighbours (Å) after each atom.
Fractional coordinates of all 5 atoms:
Cs1 0.0000 0.0000 0.0000  4 Os 2.53
Sc1 0.5000 0.5000 0.5000  4 I 3.58
Os1 0.0000 0.5000 0.0000  2 Cs 2.53
Os2 0.5000 0.0000 0.0000  2 Cs 2.53
I1 0.0000 0.0000 0.5000  2 Cs 3.15

Properties
- ΔE_f (raw): 2741 meV/atom
- Uncorrected energy: -3.4976 eV per atom

***

DFT (PBE) results for a relaxed structure of Cs2SnOsI6.

Cell: 8.3341 8.3341 8.3341 Å, 119.96 119.96 90.06°
With the nearest neighbours (Å) after each atom.
Fractional coordinates of all 10 atoms:
Cs1 0.2500 0.7500 0.5000  12 I 4.17
Cs2 0.7500 0.2500 0.5000  12 I 4.17
Sn1 0.0000 0.0000 0.0000  6 I 3.15-3.16
Os1 0.5000 0.5000 0.0000  6 I 2.74
I1 0.2676 0.2676 0.0000  1 Os 2.74
I2 0.2676 0.2676 0.5352  1 Os 2.74
I3 0.2676 0.7324 0.0000  1 Os 2.74
I4 0.7324 0.2676 0.0000  1 Os 2.74
I5 0.7324 0.7324 0.0000  1 Os 2.74
I6 0.7324 0.7324 0.4648  1 Os 2.74

Properties
- ΔE_f (raw): -530 meV/atom
- Uncorrected energy: -3.1538 eV per atom

***

DFT (PBE) results for a relaxed structure of Cs2SrOsI6.

Cell: 8.4329 8.4329 8.4329 Å, 60.00 60.00 60.00°
With the nearest neighbours (Å) after each atom.
Fractional coordinates of all 10 atoms:
Cs1 0.2500 0.2500 0.2500  12 I 4.22
Cs2 0.7500 0.7500 0.7500  12 I 4.22
Sr1 0.0000 0.0000 0.0000  6 I 3.23
Os1 0.5000 0.5000 0.5000  6 I 2.73
I1 0.2712 0.2712 0.7288  1 Os 2.73
I2 0.2712 0.7288 0.2712  1 Os 2.73
I3 0.2712 0.7288 0.7288  1 Os 2.73
I4 0.7288 0.2712 0.2712  1 Os 2.73
I5 0.7288 0.2712 0.7288  1 Os 2.73
I6 0.7288 0.7288 0.2712  1 Os 2.73

Properties
- ΔE_f (raw): -881 meV/atom
- Uncorrected energy: -3.2727 eV per atom

***

DFT (PBE) results for a relaxed structure of CsTeOsI2.

Cell: 5.9150 5.9150 5.0413 Å, 90.00 90.00 90.00°
With the nearest neighbours (Å) after each atom.
Fractional coordinates of all 5 atoms:
Cs1 0.0000 0.0000 0.0000  8 I 3.89, 4 Te 4.18
Te1 0.5000 0.5000 0.0000  2 Os 2.52
Os1 0.5000 0.5000 0.5000  2 Te 2.52
I1 0.0000 0.5000 0.5000  2 Os 2.96
I2 0.5000 0.0000 0.5000  2 Os 2.96

Properties
- ΔE_f (raw): -55 meV/atom
- Uncorrected energy: -3.7204 eV per atom